1) Compound: Sb2TePbO
Source: Alexandria
Functional: PBE-GGA
Structure: relaxed

```
data_Sb2TePbO
_chemical_formula_sum 'Sb2 Te1 Pb1 O1'
_cell_length_a 4.812
_cell_length_b 4.812
_cell_length_c 5.270
_cell_angle_alpha 90.00
_cell_angle_beta 90.00
_cell_angle_gamma 90.00
_symmetry_space_group_name_H-M 'P 4/m m m'
_symmetry_Int_Tables_number 123
_symmetry_space_group_name_Hall '-P 4 2'
loop_
_atom_site_label
_atom_site_type_symbol
_atom_site_fract_x
_atom_site_fract_y
_atom_site_fract_z
_atom_site_occupancy
Sb1 Sb 0.000 0.500 0.000 1
Te1 Te 0.000 0.000 0.500 1
Pb1 Pb 0.500 0.500 0.500 1
O1 O 0.000 0.000 0.000 1
```

***

2) Compound: Sb2TePbO
Source: Alexandria
Functional: PBE-GGA
Structure: relaxed

```
data_Sb2TePbO
_chemical_formula_sum 'Sb2 Te1 Pb1 O1'
_cell_length_a 5.864
_cell_length_b 5.864
_cell_length_c 5.915
_cell_angle_alpha 90.00
_cell_angle_beta 90.00
_cell_angle_gamma 90.00
_symmetry_space_group_name_H-M 'P 4/m m m'
_symmetry_Int_Tables_number 123
_symmetry_space_group_name_Hall '-P 4 2'
loop_
_atom_site_label
_atom_site_type_symbol
_atom_site_fract_x
_atom_site_fract_y
_atom_site_fract_z
_atom_site_occupancy
Sb1 Sb 0.000 0.500 0.000 1
Te1 Te 0.000 0.000 0.500 1
Pb1 Pb 0.000 0.000 0.000 1
O1 O 0.500 0.500 0.500 1
```

***

Decreasing stability: 1), 2)

***

1) Compound: ScPb3O
Source: Alexandria
Functional: PBE-GGA
Structure: relaxed

```
data_ScPb3O
_chemical_formula_sum 'Sc1 Pb3 O1'
_cell_length_a 5.627
_cell_length_b 5.627
_cell_length_c 5.627
_cell_angle_alpha 90.00
_cell_angle_beta 90.00
_cell_angle_gamma 90.00
_symmetry_space_group_name_H-M 'P m -3 m'
_symmetry_Int_Tables_number 221
_symmetry_space_group_name_Hall '-P 4 2 3'
loop_
_atom_site_label
_atom_site_type_symbol
_atom_site_fract_x
_atom_site_fract_y
_atom_site_fract_z
_atom_site_occupancy
Sc1 Sc 0.000 0.000 0.000 1
Pb1 Pb 0.000 0.000 0.500 1
O1 O 0.500 0.500 0.500 1
```

***

2) Compound: ScPb3O
Source: Alexandria
Functional: PBE-GGA
Structure: relaxed

```
data_ScPb3O
_chemical_formula_sum 'Sc1 Pb3 O1'
_cell_length_a 4.969
_cell_length_b 4.969
_cell_length_c 4.969
_cell_angle_alpha 90.00
_cell_angle_beta 90.00
_cell_angle_gamma 90.00
_symmetry_space_group_name_H-M 'P m -3 m'
_symmetry_Int_Tables_number 221
_symmetry_space_group_name_Hall '-P 4 2 3'
loop_
_atom_site_label
_atom_site_type_symbol
_atom_site_fract_x
_atom_site_fract_y
_atom_site_fract_z
_atom_site_occupancy
Sc1 Sc 0.000 0.000 0.000 1
Pb1 Pb 0.000 0.500 0.500 1
O1 O 0.500 0.500 0.500 1
```

***

Decreasing stability: 2), 1)

***

1) Compound: ScTaPb2O6
Source: Alexandria
Functional: PBE-GGA
Structure: relaxed

```
data_ScTaPb2O6
_chemical_formula_sum 'Sc2 Ta2 Pb4 O12'
_cell_length_a 5.796
_cell_length_b 5.787
_cell_length_c 10.015
_cell_angle_alpha 90.00
_cell_angle_beta 125.29
_cell_angle_gamma 90.00
_symmetry_space_group_name_H-M 'P 1 21/c 1'
_symmetry_Int_Tables_number 14
loop_
_symmetry_equiv_pos_as_xyz
'x,y,z'
'-x,-y,-z'
'-x,y+1/2,-z+1/2'
'x,-y+1/2,z+1/2'
loop_
_atom_site_label
_atom_site_type_symbol
_atom_site_fract_x
_atom_site_fract_y
_atom_site_fract_z
_atom_site_occupancy
Sc1 Sc 0.000 0.000 0.000 1
Ta1 Ta 0.500 0.000 0.500 1
Pb1 Pb 0.256 0.014 0.751 1
O1 O 0.200 0.007 0.257 1
O2 O 0.263 0.719 0.030 1
O3 O 0.314 0.231 0.030 1
```

***

2) Compound: ScTaPb2O6
Source: Alexandria
Functional: PBE-GGA
Structure: relaxed

```
data_ScTaPb2O6
_chemical_formula_sum 'Sc4 Ta4 Pb8 O24'
_cell_length_a 8.207
_cell_length_b 8.207
_cell_length_c 8.207
_cell_angle_alpha 90.00
_cell_angle_beta 90.00
_cell_angle_gamma 90.00
_symmetry_space_group_name_H-M 'F m -3 m'
_symmetry_Int_Tables_number 225
_symmetry_space_group_name_Hall '-F 4 2 3'
loop_
_atom_site_label
_atom_site_type_symbol
_atom_site_fract_x
_atom_site_fract_y
_atom_site_fract_z
_atom_site_occupancy
Sc1 Sc 0.000 0.000 0.000 1
Ta1 Ta 0.000 0.000 0.500 1
Pb1 Pb 0.250 0.250 0.250 1
O1 O 0.000 0.000 0.256 1
```

***

Decreasing stability: 1), 2)

***

1) Compound: Pb2SeO
Source: Alexandria
Functional: PBE-GGA
Structure: relaxed

```
data_Pb2SeO
_chemical_formula_sum 'Pb8 Se4 O4'
_cell_length_a 7.093
_cell_length_b 7.093
_cell_length_c 7.093
_cell_angle_alpha 90.00
_cell_angle_beta 90.00
_cell_angle_gamma 90.00
_symmetry_space_group_name_H-M 'F m -3 m'
_symmetry_Int_Tables_number 225
_symmetry_space_group_name_Hall '-F 4 2 3'
loop_
_atom_site_label
_atom_site_type_symbol
_atom_site_fract_x
_atom_site_fract_y
_atom_site_fract_z
_atom_site_occupancy
Pb1 Pb 0.250 0.250 0.250 1
Se1 Se 0.000 0.000 0.000 1
O1 O 0.000 0.000 0.500 1
```

***

2) Compound: Pb2SeO
Source: Alexandria
Functional: PBE-GGA
Structure: relaxed

```
data_Pb2SeO
_chemical_formula_sum 'Pb8 Se4 O4'
_cell_length_a 6.303
_cell_length_b 6.303
_cell_length_c 12.134
_cell_angle_alpha 90.00
_cell_angle_beta 90.00
_cell_angle_gamma 90.00
_symmetry_space_group_name_H-M 'I -4 2 d'
_symmetry_Int_Tables_number 122
_symmetry_space_group_name_Hall 'I -4 2bw'
loop_
_atom_site_label
_atom_site_type_symbol
_atom_site_fract_x
_atom_site_fract_y
_atom_site_fract_z
_atom_site_occupancy
Pb1 Pb 0.179 0.250 0.125 1
Se1 Se 0.000 0.000 0.500 1
O1 O 0.000 0.000 0.000 1
```

***

Decreasing stability: 2), 1)

***

1) Compound: Pb3Se2O
Source: Alexandria
Functional: PBE-GGA
Structure: relaxed

```
data_Pb3Se2O
_chemical_formula_sum 'Pb12 Se8 O4'
_cell_length_a 8.841
_cell_length_b 4.231
_cell_length_c 17.820
_cell_angle_alpha 90.00
_cell_angle_beta 90.00
_cell_angle_gamma 90.00
_symmetry_space_group_name_H-M 'P n m a'
_symmetry_Int_Tables_number 62
loop_
_symmetry_equiv_pos_as_xyz
'x,y,z'
'-x,-y,-z'
'-x+1/2,-y,z+1/2'
'x+1/2,y,-z+1/2'
'x+1/2,-y+1/2,-z+1/2'
'-x+1/2,y+1/2,z+1/2'
'-x,y+1/2,-z'
'x,-y+1/2,z'
loop_
_atom_site_label
_atom_site_type_symbol
_atom_site_fract_x
_atom_site_fract_y
_atom_site_fract_z
_atom_site_occupancy
Pb1 Pb 0.003 0.250 0.102 1
Pb2 Pb 0.142 0.750 0.421 1
Pb3 Pb 0.174 0.250 0.734 1
Se1 Se 0.085 0.250 0.280 1
Se2 Se 0.234 0.750 0.021 1
O1 O 0.128 0.250 0.860 1
```

***

2) Compound: Pb3Se2O
Source: Alexandria
Functional: PBE-GGA
Structure: relaxed

```
data_Pb3Se2O
_chemical_formula_sum 'Pb12 Se8 O4'
_cell_length_a 6.943
_cell_length_b 13.363
_cell_length_c 7.629
_cell_angle_alpha 90.00
_cell_angle_beta 110.52
_cell_angle_gamma 90.00
_symmetry_space_group_name_H-M 'C 1 2/c 1'
_symmetry_Int_Tables_number 15
loop_
_symmetry_equiv_pos_as_xyz
'x,y,z'
'-x,-y,-z'
'-x,y,-z+1/2'
'x,-y,z+1/2'
'x+1/2,y+1/2,z'
'-x+1/2,-y+1/2,-z'
'-x+1/2,y+1/2,-z+1/2'
'x+1/2,-y+1/2,z+1/2'
loop_
_atom_site_label
_atom_site_type_symbol
_atom_site_fract_x
_atom_site_fract_y
_atom_site_fract_z
_atom_site_occupancy
Pb1 Pb 0.205 0.085 0.073 1
Pb2 Pb 0.250 0.250 0.500 1
Se1 Se 0.000 0.260 0.750 1
Se2 Se 0.000 0.424 0.250 1
O1 O 0.000 0.131 0.250 1
```

***

Decreasing stability: 1), 2)

***

1) Compound: PbSeO2
Source: Alexandria
Functional: PBE-GGA
Structure: relaxed

```
data_PbSeO2
_chemical_formula_sum 'Pb4 Se4 O8'
_cell_length_a 6.221
_cell_length_b 6.221
_cell_length_c 6.221
_cell_angle_alpha 90.00
_cell_angle_beta 90.00
_cell_angle_gamma 90.00
_symmetry_space_group_name_H-M 'F m -3 m'
_symmetry_Int_Tables_number 225
_symmetry_space_group_name_Hall '-F 4 2 3'
loop_
_atom_site_label
_atom_site_type_symbol
_atom_site_fract_x
_atom_site_fract_y
_atom_site_fract_z
_atom_site_occupancy
Pb1 Pb 0.000 0.000 0.000 1
Se1 Se 0.000 0.000 0.500 1
O1 O 0.250 0.250 0.250 1
```

***

2) Compound: PbSeO2
Source: Alexandria
Functional: PBE-GGA
Structure: relaxed

```
data_PbSeO2
_chemical_formula_sum 'Pb3 Se3 O6'
_cell_length_a 3.5049
_cell_length_b 3.5049
_cell_length_c 20.2149
_cell_angle_alpha 90.00
_cell_angle_beta 90.00
_cell_angle_gamma 120.00
_symmetry_space_group_name_H-M 'R -3 m'
_symmetry_Int_Tables_number 166
_symmetry_space_group_name_Hall '-R 3 2"'
loop_
_atom_site_label
_atom_site_type_symbol
_atom_site_fract_x
_atom_site_fract_y
_atom_site_fract_z
_atom_site_occupancy
Pb1 Pb 0.0000 0.0000 0.0000 1
Se1 Se 0.0000 0.0000 0.5000 1
O1 O 0.0000 0.0000 0.4042 1
```

***

3) Compound: PbSeO2
Source: Alexandria
Functional: PBE-GGA
Structure: relaxed

```
data_PbSeO2
_chemical_formula_sum 'Pb4 Se4 O8'
_cell_length_a 4.741
_cell_length_b 4.741
_cell_length_c 13.116
_cell_angle_alpha 90.00
_cell_angle_beta 90.00
_cell_angle_gamma 90.00
_symmetry_space_group_name_H-M 'I -4 2 d'
_symmetry_Int_Tables_number 122
_symmetry_space_group_name_Hall 'I -4 2bw'
loop_
_atom_site_label
_atom_site_type_symbol
_atom_site_fract_x
_atom_site_fract_y
_atom_site_fract_z
_atom_site_occupancy
Pb1 Pb 0.000 0.000 0.000 1
Se1 Se 0.000 0.000 0.500 1
O1 O 0.183 0.250 0.625 1
```

***

4) Compound: PbSeO2
Source: Alexandria
Functional: PBE-GGA
Structure: relaxed

```
data_PbSeO2
_chemical_formula_sum 'Pb3 Se3 O6'
_cell_length_a 3.3568
_cell_length_b 3.3568
_cell_length_c 20.9147
_cell_angle_alpha 90.00
_cell_angle_beta 90.00
_cell_angle_gamma 120.00
_symmetry_space_group_name_H-M 'R -3 m'
_symmetry_Int_Tables_number 166
_symmetry_space_group_name_Hall '-R 3 2"'
loop_
_atom_site_label
_atom_site_type_symbol
_atom_site_fract_x
_atom_site_fract_y
_atom_site_fract_z
_atom_site_occupancy
Pb1 Pb 0.0000 0.0000 0.0000 1
Se1 Se 0.0000 0.0000 0.5000 1
O1 O 0.0000 0.0000 0.1198 1
```

***

Decreasing stability: 2), 3), 4), 1)